Record 1
Compound: ScSeF3
Source: the Alexandria database
Functional: GGA-PBE
Structure: optimized geometry

Cell lengths 4.2269, 4.2269, 4.2269 Å; angles 90.00, 90.00, 90.00 degrees
Element x y z (fractional)
Sc1 0.0000 0.0000 0.0000
Se1 0.5000 0.5000 0.5000
F1 0.0000 0.0000 0.5000
F2 0.0000 0.5000 0.0000
F3 0.5000 0.0000 0.0000

Output
- crystal system = cubic
- space group = No. 221
- DFT total energy (eV per atom) = -5.571
- E above lowest polymorph (eV/atom) = 0.000
- M_tot (μB/f.u.) = 2.000



Record 2
Compound: ScSeF3
Source: the Alexandria database
Functional: GGA-PBE
Structure: optimized geometry

Cell lengths 4.5026, 4.5026, 4.5026 Å; angles 90.00, 90.00, 90.00 degrees
Element x y z (fractional)
Sc1 0.0000 0.0000 0.0000
Se1 0.5000 0.5000 0.5000
F1 0.0000 0.5000 0.5000
F2 0.5000 0.0000 0.5000
F3 0.5000 0.5000 0.0000

Output
- crystal system = cubic
- space group = No. 221
- DFT total energy (eV per atom) = -3.981
- E above lowest polymorph (eV/atom) = 1.589
- M_tot (μB/f.u.) = 1.089



Record 3
Compound: ScSeF
Source: the Alexandria database
Functional: GGA-PBE
Structure: optimized geometry

Cell lengths 5.2180, 6.9707, 6.7837 Å; angles 90.00, 118.69, 90.00 degrees
Element x y z (fractional)
Sc1 0.0952 0.1401 0.2498
Sc2 0.0952 0.3599 0.7498
Sc3 0.9048 0.6401 0.2502
Sc4 0.9048 0.8599 0.7502
Se1 0.3062 0.6256 0.0847
Se2 0.3062 0.8744 0.5847
Se3 0.6938 0.1256 0.4153
Se4 0.6938 0.3744 0.9153
F1 0.1577 0.1041 0.9445
F2 0.1577 0.3959 0.4445
F3 0.8423 0.6041 0.5555
F4 0.8423 0.8959 0.0555

Output
- crystal system = monoclinic
- space group = No. 14
- DFT total energy (eV per atom) = -6.457
- M_tot (μB/f.u.) = 0.000



Record 4
Compound: ScSeF
Source: the Alexandria database
Functional: GGA-PBE
Structure: optimized geometry

Cell lengths 3.8023, 3.8023, 3.8427 Å; angles 90.00, 90.00, 120.00 degrees
Element x y z (fractional)
Sc1 0.0000 0.0000 0.0000
Se1 0.6667 0.3333 0.5000
F1 0.3333 0.6667 0.0000

Output
- crystal system = hexagonal
- space group = No. 187
- DFT total energy (eV per atom) = -6.399
- M_tot (μB/f.u.) = 0.000



Record 5
Compound: ScSeF2
Source: the Alexandria database
Functional: GGA-PBE
Structure: optimized geometry

Cell lengths 9.4814, 9.4814, 9.4814 Å; angles 18.76, 18.76, 18.76 degrees
Element x y z (fractional)
Sc1 0.0000 0.0000 0.0000
Se1 0.5000 0.5000 0.5000
F1 0.3753 0.3753 0.3753
F2 0.6247 0.6247 0.6247

Output
- crystal system = trigonal
- space group = No. 166
- DFT total energy (eV per atom) = -5.579
- E above lowest polymorph (eV/atom) = 0.132
- M_tot (μB/f.u.) = 0.000



Record 6
Compound: ScSeF2
Source: the Alexandria database
Functional: GGA-PBE
Structure: optimized geometry

Cell lengths 4.3017, 4.3017, 4.3017 Å; angles 60.00, 60.00, 60.00 degrees
Element x y z (fractional)
Sc1 0.0000 0.0000 0.0000
Se1 0.5000 0.5000 0.5000
F1 0.2500 0.2500 0.2500
F2 0.7500 0.7500 0.7500

Output
- crystal system = cubic
- space group = No. 225
- DFT total energy (eV per atom) = -5.115
- E above lowest polymorph (eV/atom) = 0.597
- M_tot (μB/f.u.) = 0.000



Record 7
Compound: SrScSe2F
Source: the Alexandria database
Functional: GGA-PBE
Structure: optimized geometry

Cell lengths 4.0083, 4.0083, 14.1216 Å; angles 90.00, 90.00, 90.00 degrees
Element x y z (fractional)
Sr1 0.2500 0.2500 0.1048
Sr2 0.7500 0.7500 0.8952
Sc1 0.2500 0.2500 0.6130
Sc2 0.7500 0.7500 0.3870
Se1 0.2500 0.2500 0.4113
Se2 0.2500 0.2500 0.7879
Se3 0.7500 0.7500 0.2121
Se4 0.7500 0.7500 0.5887
F1 0.2500 0.7500 0.0000
F2 0.7500 0.2500 0.0000

Output
- crystal system = tetragonal
- space group = No. 129
- DFT total energy (eV per atom) = -5.755
- M_tot (μB/f.u.) = 0.000



Record 8
Compound: ScTlSe2F
Source: the Alexandria database
Functional: GGA-PBE
Structure: optimized geometry

Cell lengths 5.3451, 5.3451, 4.0885 Å; angles 90.00, 90.00, 90.00 degrees
Element x y z (fractional)
Sc1 0.0000 0.0000 0.0000
Tl1 0.5000 0.5000 0.5000
Se1 0.0000 0.5000 0.0000
Se2 0.5000 0.0000 0.0000
F1 0.0000 0.0000 0.5000

Output
- crystal system = tetragonal
- space group = No. 123
- DFT total energy (eV per atom) = -5.104
- M_tot (μB/f.u.) = 0.000



Record 9
Compound: ScTlSeF2
Source: the Alexandria database
Functional: GGA-PBE
Structure: optimized geometry

Cell lengths 4.3352, 4.3352, 5.3297 Å; angles 90.00, 90.00, 90.00 degrees
Element x y z (fractional)
Sc1 0.0000 0.0000 0.0000
Tl1 0.5000 0.5000 0.5000
Se1 0.0000 0.0000 0.5000
F1 0.0000 0.5000 0.0000
F2 0.5000 0.0000 0.0000

Output
- crystal system = tetragonal
- space group = No. 123
- DFT total energy (eV per atom) = -5.543
- M_tot (μB/f.u.) = 0.000



Record 10
Compound: YScSe2F
Source: the Alexandria database
Functional: GGA-PBE
Structure: optimized geometry

Cell lengths 5.4585, 5.4585, 3.9925 Å; angles 90.00, 90.00, 90.00 degrees
Element x y z (fractional)
Y1 0.0000 0.0000 0.0000
Sc1 0.5000 0.5000 0.0000
Se1 0.0000 0.5000 0.5000
Se2 0.5000 0.0000 0.5000
F1 0.0000 0.0000 0.5000

Output
- crystal system = tetragonal
- space group = No. 123
- DFT total energy (eV per atom) = -5.644
- M_tot (μB/f.u.) = 0.968



Record 11
Compound: ScSi3F
Source: the Alexandria database
Functional: GGA-PBE
Structure: optimized geometry

Cell lengths 4.3271, 4.3271, 4.3271 Å; angles 90.00, 90.00, 90.00 degrees
Element x y z (fractional)
Sc1 0.0000 0.0000 0.0000
Si1 0.0000 0.5000 0.5000
Si2 0.5000 0.0000 0.5000
Si3 0.5000 0.5000 0.0000
F1 0.5000 0.5000 0.5000

Output
- crystal system = cubic
- space group = No. 221
- DFT total energy (eV per atom) = -5.036
- E above lowest polymorph (eV/atom) = 0.000
- M_tot (μB/f.u.) = 0.000



Record 12
Compound: Sc3SiF
Source: the Alexandria database
Functional: GGA-PBE
Structure: optimized geometry

Cell lengths 4.3903, 4.3903, 4.3903 Å; angles 90.00, 90.00, 90.00 degrees
Element x y z (fractional)
Sc1 0.0000 0.0000 0.5000
Sc2 0.0000 0.5000 0.0000
Sc3 0.5000 0.0000 0.0000
Si1 0.5000 0.5000 0.5000
F1 0.0000 0.0000 0.0000

Output
- crystal system = cubic
- space group = No. 221
- DFT total energy (eV per atom) = -6.260
- E above lowest polymorph (eV/atom) = 0.000
- M_tot (μB/f.u.) = 0.000